1.
Below is NdTmMg after structural relaxation, with properties calculated at the PBE level.

Unit cell a=5.261 b=5.261 c=5.261 alpha=60.00 beta=60.00 gamma=60.00
Atoms (fractional coordinates):
Nd  0.000  0.000  0.000
Tm  0.500  0.500  0.500
Mg  0.250  0.250  0.250

Computed properties:
Electronic total energy, eV per atom: -3.193
Magnetization, μB/atom: 0.14
Space group: F-43m, No. 216
E above lowest polymorph, eV/atom: 0.000

***

2.
Below is NdMgU after structural relaxation, with properties calculated at the PBE level.

Unit cell a=5.182 b=5.182 c=5.182 alpha=60.00 beta=60.00 gamma=60.00
Atoms (fractional coordinates):
Nd  0.000  0.000  0.000
Mg  0.250  0.250  0.250
U  0.500  0.500  0.500

Computed properties:
Electronic total energy, eV per atom: -4.778
Magnetization, μB/atom: 1.45
Space group: F-43m, No. 216
E above lowest polymorph, eV/atom: 0.000

***

3.
Below is NdYMg6 after structural relaxation, with properties calculated at the PBE level.

Unit cell a=5.210 b=7.374 c=5.211 alpha=90.00 beta=90.00 gamma=90.00
Atoms (fractional coordinates):
Nd  0.000  0.000  0.000
Y  0.500  0.500  0.492
Mg  0.000  0.254  0.501
Mg  0.000  0.500  0.000
Mg  0.000  0.746  0.501
Mg  0.500  0.000  0.493
Mg  0.500  0.254  0.992
Mg  0.500  0.746  0.992

Computed properties:
Electronic total energy, eV per atom: -2.666
Magnetization, μB/atom: 0.00
Space group: Pmm2, No. 25

***

4.
Below is NdYMg6 after structural relaxation, with properties calculated at the PBE level.

Unit cell a=5.203 b=5.203 c=7.375 alpha=90.00 beta=90.00 gamma=90.00
Atoms (fractional coordinates):
Nd  0.000  0.000  0.000
Y  0.500  0.500  0.500
Mg  0.000  0.000  0.500
Mg  0.000  0.500  0.254
Mg  0.000  0.500  0.746
Mg  0.500  0.000  0.254
Mg  0.500  0.000  0.746
Mg  0.500  0.500  0.000

Computed properties:
Electronic total energy, eV per atom: -2.667
Magnetization, μB/atom: 0.00
Space group: P4/mmm, No. 123

***

5.
Below is Nd2Mg2Zn15 after structural relaxation, with properties calculated at the PBE level.

Unit cell a=6.897 b=6.897 c=6.897 alpha=82.61 beta=82.61 gamma=82.61
Atoms (fractional coordinates):
Nd  0.159  0.159  0.159
Nd  0.841  0.841  0.841
Mg  0.397  0.397  0.397
Mg  0.603  0.603  0.603
Zn  0.000  0.500  0.500
Zn  0.147  0.147  0.661
Zn  0.147  0.661  0.147
Zn  0.207  0.500  0.793
Zn  0.207  0.793  0.500
Zn  0.339  0.853  0.853
Zn  0.500  0.000  0.500
Zn  0.500  0.207  0.793
Zn  0.500  0.500  0.000
Zn  0.500  0.793  0.207
Zn  0.661  0.147  0.147
Zn  0.793  0.207  0.500
Zn  0.793  0.500  0.207
Zn  0.853  0.339  0.853
Zn  0.853  0.853  0.339

Computed properties:
Electronic total energy, eV per atom: -1.919
Magnetization, μB/atom: 0.00
Space group: R-3m, No. 166

***

6.
Below is NdMgZr after structural relaxation, with properties calculated at the PBE level.

Unit cell a=5.050 b=5.050 c=5.050 alpha=60.00 beta=60.00 gamma=60.00
Atoms (fractional coordinates):
Nd  0.000  0.000  0.000
Mg  0.250  0.250  0.250
Zr  0.500  0.500  0.500

Computed properties:
Electronic total energy, eV per atom: -4.301
Magnetization, μB/atom: 0.08
Space group: F-43m, No. 216

***

7.
Below is Mg2Ni after structural relaxation, with properties calculated at the PBE level.

Unit cell a=5.092 b=5.092 c=4.389 alpha=90.00 beta=90.00 gamma=120.00
Atoms (fractional coordinates):
Mg  0.000  0.000  0.000
Mg  0.000  0.365  0.500
Mg  0.365  0.000  0.500
Mg  0.635  0.635  0.500
Ni  0.333  0.667  0.000
Ni  0.667  0.333  0.000

Computed properties:
Electronic total energy, eV per atom: -2.868
Magnetization, μB/atom: 0.00
Space group: P-62m, No. 189

***

8.
Below is Mg4Ni3 after structural relaxation, with properties calculated at the PBE level.

Unit cell a=7.522 b=7.522 c=4.455 alpha=90.00 beta=90.00 gamma=120.00
Atoms (fractional coordinates):
Mg  0.085  0.424  0.250
Mg  0.333  0.667  0.750
Mg  0.339  0.915  0.250
Mg  0.424  0.339  0.750
Mg  0.576  0.661  0.250
Mg  0.661  0.085  0.750
Mg  0.667  0.333  0.250
Mg  0.915  0.576  0.750
Ni  0.043  0.214  0.750
Ni  0.170  0.957  0.750
Ni  0.214  0.170  0.250
Ni  0.786  0.830  0.750
Ni  0.830  0.043  0.250
Ni  0.957  0.786  0.250

Computed properties:
Electronic total energy, eV per atom: -3.274
Magnetization, μB/atom: 0.00
Space group: P6_3/m, No. 176
E above lowest polymorph, eV/atom: 0.058

***

9.
Below is Mg4Ni7 after structural relaxation, with properties calculated at the PBE level.

Unit cell a=12.180 b=12.180 c=13.007 alpha=102.17 beta=102.17 gamma=22.81
Atoms (fractional coordinates):
Mg  0.008  0.008  0.398
Mg  0.036  0.036  0.209
Mg  0.129  0.129  0.602
Mg  0.161  0.161  0.247
Mg  0.179  0.179  0.826
Mg  0.215  0.215  0.473
Mg  0.304  0.304  0.853
Mg  0.358  0.358  0.077
Mg  0.439  0.439  0.453
Mg  0.484  0.484  0.104
Mg  0.516  0.516  0.896
Mg  0.561  0.561  0.547
Mg  0.642  0.642  0.923
Mg  0.696  0.696  0.147
Mg  0.785  0.785  0.527
Mg  0.821  0.821  0.174
Mg  0.839  0.839  0.753
Mg  0.871  0.871  0.398
Mg  0.964  0.964  0.791
Mg  0.992  0.992  0.602
Ni  0.000  0.000  0.000
Ni  0.000  0.500  0.000
Ni  0.014  0.521  0.324
Ni  0.078  0.078  0.905
Ni  0.137  0.650  0.602
Ni  0.167  0.658  0.930
Ni  0.168  0.168  0.035
Ni  0.180  0.680  0.255
Ni  0.258  0.258  0.162
Ni  0.313  0.313  0.640
Ni  0.320  0.820  0.745
Ni  0.329  0.329  0.464
Ni  0.342  0.833  0.070
Ni  0.349  0.349  0.287
Ni  0.350  0.863  0.398
Ni  0.403  0.403  0.767
Ni  0.479  0.986  0.676
Ni  0.482  0.482  0.675
Ni  0.500  0.000  0.000
Ni  0.518  0.518  0.325
Ni  0.521  0.014  0.324
Ni  0.597  0.597  0.233
Ni  0.650  0.137  0.602
Ni  0.651  0.651  0.713
Ni  0.658  0.167  0.930
Ni  0.671  0.671  0.536
Ni  0.680  0.180  0.255
Ni  0.687  0.687  0.360
Ni  0.742  0.742  0.838
Ni  0.820  0.320  0.745
Ni  0.832  0.832  0.965
Ni  0.833  0.342  0.070
Ni  0.863  0.350  0.398
Ni  0.922  0.922  0.095
Ni  0.986  0.479  0.676

Computed properties:
Electronic total energy, eV per atom: -4.327
Magnetization, μB/atom: 0.08
Space group: C2/m, No. 12

***

10.
Below is Mg2Ni after structural relaxation, with properties calculated at the PBE level.

Unit cell a=6.271 b=6.271 c=2.881 alpha=90.00 beta=90.00 gamma=90.00
Atoms (fractional coordinates):
Mg  0.230  0.230  0.000
Mg  0.270  0.730  0.500
Mg  0.730  0.270  0.500
Mg  0.770  0.770  0.000
Ni  0.000  0.000  0.500
Ni  0.500  0.500  0.000

Computed properties:
Electronic total energy, eV per atom: -2.792
Magnetization, μB/atom: 0.00
Space group: P4_2/mnm, No. 136